No. 1
Computed, not measured: a relaxed structure of VRe2H at the GGA-PBE level of DFT.

Geometry as CIF:
```
data_VRe2H
_chemical_formula_sum 'V2 Re4 H2'
_symmetry_space_group_name_H-M 'P 1'
_symmetry_Int_Tables_number 1
_symmetry_space_group_name_Hall 'P 1'
_cell_length_a 6.638
_cell_length_b 6.638
_cell_length_c 5.175
_cell_angle_alpha 50.10
_cell_angle_beta 50.10
_cell_angle_gamma 90.00
loop_
_atom_site_label
_atom_site_type_symbol
_atom_site_fract_x
_atom_site_fract_y
_atom_site_fract_z
Re1 Re 0.875 0.767 0.750
Re2 Re 0.375 0.483 0.750
Re3 Re 0.517 0.125 0.250
Re4 Re 0.233 0.625 0.250
V1 V 0.750 0.250 0.500
V2 V 0.000 0.000 0.000
H1 H 0.250 0.750 0.500
H2 H 0.500 0.500 0.000
```

- distance to the lowest polymorph of the same formula (meV/atom) = 0
- space group = No. 122

No. 2
Computed, not measured: a relaxed structure of BaNaPmIn at the GGA-PBE level of DFT.

Geometry as CIF:
```
data_BaNaPmIn
_chemical_formula_sum 'Ba1 Na1 Pm1 In1'
_symmetry_space_group_name_H-M 'P 1'
_symmetry_Int_Tables_number 1
_symmetry_space_group_name_Hall 'P 1'
_cell_length_a 5.839
_cell_length_b 5.839
_cell_length_c 5.839
_cell_angle_alpha 60.00
_cell_angle_beta 60.00
_cell_angle_gamma 60.00
loop_
_atom_site_label
_atom_site_type_symbol
_atom_site_fract_x
_atom_site_fract_y
_atom_site_fract_z
Pm1 Pm 0.750 0.750 0.750
Ba1 Ba 0.250 0.250 0.250
In1 In 0.000 0.000 0.000
Na1 Na 0.500 0.500 0.500
```

- ΔH_f (0 K) (eV per atom) = -0.087
- space group = No. 216

No. 3
Computed, not measured: a relaxed structure of SrMn2Se at the GGA-PBE level of DFT.

Geometry as CIF:
```
data_SrMn2Se
_chemical_formula_sum 'Sr2 Mn4 Se2'
_symmetry_space_group_name_H-M 'P 1'
_symmetry_Int_Tables_number 1
_symmetry_space_group_name_Hall 'P 1'
_cell_length_a 4.814
_cell_length_b 4.814
_cell_length_c 9.166
_cell_angle_alpha 74.78
_cell_angle_beta 74.78
_cell_angle_gamma 90.00
loop_
_atom_site_label
_atom_site_type_symbol
_atom_site_fract_x
_atom_site_fract_y
_atom_site_fract_z
Mn1 Mn 0.375 0.625 0.750
Mn2 Mn 0.375 0.125 0.250
Mn3 Mn 0.875 0.625 0.750
Mn4 Mn 0.375 0.625 0.250
Sr1 Sr 0.750 0.250 0.500
Sr2 Sr 0.000 0.000 0.000
Se1 Se 0.250 0.750 0.500
Se2 Se 0.500 0.500 0.000
```

- formation energy from raw total energies (eV per atom) = 0.08
- space group = No. 141

Number 1: E -9.05 eV/atom. Number 2: E -2.77 eV/atom. Number 3: E -5.80 eV/atom.